Computed, not measured: an optimized crystal structure of PmSbTe at the PBE level of DFT.

Values from the calculation:
- SG: Pnma (62)
- Offset from the most stable computed form: 0.00 kcal/mol of atoms
- Density of states at the Fermi level: 0.9 states/eV/f.u.
- Formation energy (no corrections): -1.1609 eV per atom

abc: 18.985 4.343 4.342
angles: 90.00 90.00 90.00
Sites, in units of the cell vectors:
Pm 0.138 0.250 0.236
Pm 0.362 0.750 0.736
Pm 0.638 0.250 0.264
Pm 0.862 0.750 0.764
Sb 0.000 0.250 0.733
Sb 0.000 0.750 0.267
Sb 0.500 0.250 0.767
Sb 0.500 0.750 0.233
Te 0.188 0.750 0.738
Te 0.312 0.250 0.238
Te 0.688 0.750 0.762
Te 0.812 0.250 0.262

---

Computed, not measured: an optimized crystal structure of Na3In3TeS8 at the PBE level of DFT.

Values from the calculation:
- SG: R-3m (166)
- Formation energy (no corrections): -0.6817 eV per atom

abc: 8.112 8.112 8.112
angles: 56.49 56.49 56.49
Sites, in units of the cell vectors:
Na 0.000 0.500 0.500
Na 0.500 0.000 0.500
Na 0.500 0.500 0.000
In 0.000 0.000 0.500
In 0.000 0.500 0.000
In 0.500 0.000 0.000
Te 0.500 0.500 0.500
S 0.238 0.742 0.742
S 0.239 0.239 0.239
S 0.258 0.258 0.762
S 0.258 0.762 0.258
S 0.742 0.238 0.742
S 0.742 0.742 0.238
S 0.761 0.761 0.761
S 0.762 0.258 0.258

---

Computed, not measured: an optimized crystal structure of Pr3CoNi2 at the PBE level of DFT.

Values from the calculation:
- SG: Pnma (62)
- Density of states at the Fermi level: 5.8 states/eV/f.u.
- E_form: -0.185 eV/atom

abc: 11.609 3.959 11.880
angles: 90.00 90.00 90.00
Sites, in units of the cell vectors:
Pr 0.062 0.250 0.123
Pr 0.120 0.750 0.556
Pr 0.208 0.250 0.805
Pr 0.292 0.750 0.305
Pr 0.380 0.250 0.056
Pr 0.438 0.750 0.623
Pr 0.562 0.250 0.377
Pr 0.620 0.750 0.944
Pr 0.708 0.250 0.695
Pr 0.792 0.750 0.195
Pr 0.880 0.250 0.444
Pr 0.938 0.750 0.877
Co 0.125 0.250 0.370
Co 0.375 0.750 0.870
Co 0.625 0.250 0.130
Co 0.875 0.750 0.630
Ni 0.030 0.750 0.312
Ni 0.191 0.750 0.985
Ni 0.309 0.250 0.485
Ni 0.470 0.250 0.812
Ni 0.530 0.750 0.188
Ni 0.691 0.750 0.515
Ni 0.809 0.250 0.015
Ni 0.970 0.250 0.688

---

Computed, not measured: an optimized crystal structure of DyYMn at the PBE level of DFT.

Values from the calculation:
- SG: I4mm (107)
- Density of states at the Fermi level: 4.4 states/eV/f.u.
- E_form: 0.150 eV/atom

abc: 6.824 6.824 6.824
angles: 150.37 150.37 42.40
Sites, in units of the cell vectors:
Dy 0.000 0.000 0.000
Y 0.273 0.273 0.000
Mn 0.635 0.635 0.000

---

Computed, not measured: an optimized crystal structure of Nd6Cu2Ni at the PBE level of DFT.

Values from the calculation:
- SG: P2_1/c (14)
- Density of states at the Fermi level: 9.8 states/eV/f.u.
- E_form: -0.068 eV/atom

abc: 6.710 7.314 12.216
angles: 90.00 121.38 90.00
Sites, in units of the cell vectors:
Nd 0.100 0.187 0.432
Nd 0.100 0.313 0.932
Nd 0.255 0.677 0.432
Nd 0.255 0.823 0.932
Nd 0.391 0.031 0.244
Nd 0.391 0.469 0.744
Nd 0.609 0.531 0.256
Nd 0.609 0.969 0.756
Nd 0.745 0.177 0.068
Nd 0.745 0.323 0.568
Nd 0.900 0.687 0.068
Nd 0.900 0.813 0.568
Cu 0.180 0.110 0.741
Cu 0.180 0.390 0.241
Cu 0.820 0.610 0.759
Cu 0.820 0.890 0.259
Ni 0.500 0.000 0.500
Ni 0.500 0.500 0.000

---

Computed, not measured: an optimized crystal structure of AcLa7Pr2 at the PBE level of DFT.

Values from the calculation:
- SG: Cmmm (65)
- Offset from the most stable computed form: 11.56 kcal/mol of atoms
- Density of states at the Fermi level: 17.4 states/eV/f.u.
- E_form: 0.512 eV/atom

abc: 9.361 9.361 5.771
angles: 90.00 90.00 121.76
Sites, in units of the cell vectors:
Ac 0.000 0.000 0.000
La 0.069 0.305 0.500
La 0.246 0.754 0.000
La 0.305 0.069 0.500
La 0.500 0.500 0.500
La 0.695 0.931 0.500
La 0.754 0.246 0.000
La 0.931 0.695 0.500
Pr 0.301 0.699 0.500
Pr 0.699 0.301 0.500

---

Computed, not measured: an optimized crystal structure of KSrMg2 at the PBE level of DFT.

Values from the calculation:
- SG: Imm2 (44)
- Offset from the most stable computed form: 0.58 kcal/mol of atoms
- Density of states at the Fermi level: 3.9 states/eV/f.u.
- E_form: 0.125 eV/atom

abc: 7.228 7.228 7.228
angles: 147.35 129.26 61.65
Sites, in units of the cell vectors:
K 0.000 0.000 0.000
Sr 0.293 0.793 0.500
Mg 0.550 0.550 0.000
Mg 0.738 0.238 0.500

---

Computed, not measured: an optimized crystal structure of MnPCS at the PBE level of DFT.

Values from the calculation:
- SG: P1 (1)
- Offset from the most stable computed form: 3.08 kcal/mol of atoms
- Density of states at the Fermi level: 1.1 states/eV/f.u.
- Formation energy (no corrections): 0.2574 eV per atom

abc: 2.925 3.004 5.726
angles: 84.79 85.95 74.41
Sites, in units of the cell vectors:
Mn 0.000 0.000 0.000
P 0.042 0.555 0.688
C 0.556 0.585 0.508
S 0.591 0.600 0.208

---

Computed, not measured: an optimized crystal structure of Zr2TlPt at the PBE level of DFT.

Values from the calculation:
- SG: Fm-3m (225)
- Offset from the most stable computed form: 3.48 kcal/mol of atoms
- Density of states at the Fermi level: 5.0 states/eV/f.u.
- E_form: -0.344 eV/atom

abc: 4.908 4.908 4.908
angles: 60.00 60.00 60.00
Sites, in units of the cell vectors:
Zr 0.250 0.250 0.250
Zr 0.750 0.750 0.750
Tl 0.000 0.000 0.000
Pt 0.500 0.500 0.500

---

Computed, not measured: an optimized crystal structure of TaZnIn2 at the PBE level of DFT.

Values from the calculation:
- SG: P2/m (10)
- Density of states at the Fermi level: 1.8 states/eV/f.u.
- E_form: 0.230 eV/atom

abc: 5.229 3.061 5.389
angles: 90.00 113.38 90.00
Sites, in units of the cell vectors:
Ta 0.000 0.000 0.000
Zn 0.000 0.500 0.500
In 0.500 0.000 0.500
In 0.500 0.500 0.000

---

Computed, not measured: an optimized crystal structure of ZrCrP2Cl at the PBE level of DFT.

Values from the calculation:
- SG: P4/mmm (123)
- Offset from the most stable computed form: 0.00 kcal/mol of atoms
- Density of states at the Fermi level: 3.6 states/eV/f.u.
- Formation energy (no corrections): 0.0768 eV per atom

abc: 4.588 4.588 4.466
angles: 90.00 90.00 90.00
Sites, in units of the cell vectors:
Zr 0.000 0.000 0.000
Cr 0.500 0.500 0.500
P 0.000 0.500 0.500
P 0.500 0.000 0.500
Cl 0.500 0.500 0.000

---

Computed, not measured: an optimized crystal structure of Rb3U2Cl9 at the PBE level of DFT.

Values from the calculation:
- SG: R-3c (167)
- Density of states at the Fermi level: 12.4 states/eV/f.u.
- Formation energy (no corrections): -1.7974 eV per atom

abc: 9.829 9.829 9.829
angles: 85.81 85.81 85.81
Sites, in units of the cell vectors:
Rb 0.087 0.750 0.413
Rb 0.250 0.587 0.913
Rb 0.413 0.087 0.750
Rb 0.587 0.913 0.250
Rb 0.750 0.413 0.087
Rb 0.913 0.250 0.587
U 0.153 0.153 0.153
U 0.347 0.347 0.347
U 0.653 0.653 0.653
U 0.847 0.847 0.847
Cl 0.073 0.270 0.916
Cl 0.084 0.927 0.730
Cl 0.087 0.413 0.250
Cl 0.230 0.427 0.584
Cl 0.250 0.087 0.413
Cl 0.270 0.916 0.073
Cl 0.413 0.250 0.087
Cl 0.416 0.770 0.573
Cl 0.427 0.584 0.230
Cl 0.573 0.416 0.770
Cl 0.584 0.230 0.427
Cl 0.587 0.750 0.913
Cl 0.730 0.084 0.927
Cl 0.750 0.913 0.587
Cl 0.770 0.573 0.416
Cl 0.913 0.587 0.750
Cl 0.916 0.073 0.270
Cl 0.927 0.730 0.084

---

We obtain total DFT energy (no corrections) values of -62.0; -58.6; -136.5; -19.8; -86.4; -43.0; -5.5; -26.9; -26.9; -17.7; -30.5; -134.5 eV per cell for the records listed above, in that order.